1.
A plane-wave DFT calculation with SCAN was carried out for Li4Mn3Cr5O16 at its PBEsol-relaxed geometry.

Values from the calculation:
**Volume**: 9.28 Å³ per atom
**Formation energy (no corrections)**: -2387.1 meV per atom
**VASP energy**: -322.8 eV/cell
**N(E_F)**: 0.191 states/eV per atom
**SG**: No. 8

Cell lengths 5.6724, 5.6724, 9.2956 Å; angles 90.30, 90.30, 60.32 degrees
Last column: nearest neighbours and their distance in Å.
Element x y z (fractional)
Li: 0.0000 0.0000 0.0000  4 O 1.75-1.94
Li: 0.0022 0.0022 0.5082  4 O 1.75-1.91
Li: 0.3410 0.3410 0.6054  4 O 1.90-1.97
Li: 0.6739 0.6739 0.1101  4 O 1.89-1.91
Mn: 0.1734 0.6656 0.2855  6 O 1.89-1.95
Mn: 0.6656 0.1734 0.2855  6 O 1.89-1.95
Mn: 0.8277 0.8277 0.7868  6 O 1.88-1.95
Cr: 0.1726 0.1726 0.2880  6 O 1.92-1.95
Cr: 0.3378 0.3378 0.0120  6 O 1.93-2.01
Cr: 0.3487 0.8355 0.7893  6 O 1.92-1.98
Cr: 0.6689 0.6689 0.5126  6 O 1.96-1.99
Cr: 0.8355 0.3487 0.7893  6 O 1.92-1.98
O: 0.9997 0.9997 0.6963  1 Li 1.75, 1 Mn 1.89, 2 Cr 1.92
O: 0.0007 0.0007 0.1881  1 Li 1.75, 2 Mn 1.89, 1 Cr 1.92
O: 0.0456 0.4865 0.1622  1 Mn 1.89, 1 Li 1.89, 2 Cr 1.95-2.01
O: 0.1660 0.6699 0.8965  1 Li 1.89, 1 Mn 1.95, 2 Cr 1.96-1.98
O: 0.1719 0.1719 0.8988  3 Cr 1.93-1.94, 1 Li 1.94
O: 0.3310 0.8380 0.3997  1 Li 1.91, 1 Mn 1.93, 2 Cr 1.95-1.97
O: 0.3423 0.3423 0.3937  2 Mn 1.89, 1 Cr 1.93, 1 Li 1.97
O: 0.4864 0.4864 0.1621  1 Li 1.90, 2 Mn 1.93, 1 Cr 2.01
O: 0.4865 0.0456 0.1622  1 Mn 1.89, 1 Li 1.89, 2 Cr 1.95-2.01
O: 0.5274 0.5274 0.6611  1 Li 1.90, 3 Cr 1.93-1.96
O: 0.5271 0.9661 0.6569  1 Mn 1.91, 1 Li 1.91, 2 Cr 1.96-1.98
O: 0.6699 0.1660 0.8965  1 Li 1.89, 1 Mn 1.95, 2 Cr 1.96-1.98
O: 0.6722 0.6722 0.9048  1 Mn 1.88, 1 Li 1.91, 2 Cr 1.92
O: 0.8380 0.3310 0.3997  1 Li 1.91, 1 Mn 1.93, 2 Cr 1.95-1.97
O: 0.8397 0.8397 0.3976  1 Li 1.89, 2 Mn 1.95, 1 Cr 1.99
O: 0.9661 0.5271 0.6569  1 Mn 1.91, 1 Li 1.91, 2 Cr 1.96-1.98

=====

2.
A plane-wave DFT calculation with SCAN was carried out for YTlPb at its PBEsol-relaxed geometry.

Values from the calculation:
**Volume**: 27.27 Å³ per atom
**Energy relative to the lowest polymorph listed for this composition**: 0 meV per atom
**VASP energy**: -177.1 eV/cell
**Calculated formation energy**: -0.36 eV per atom
**N(E_F)**: 0.589 states/eV per atom
**SG**: No. 42

Cell lengths 6.4600, 6.2434, 3.8052 Å; angles 75.71, 69.48, 34.81 degrees
Last column: nearest neighbours and their distance in Å.
Element x y z (fractional)
Y: 0.0000 0.0000 0.0000  2 Tl 3.08, 2 Pb 3.13
Tl: 0.3341 0.3341 0.6659  2 Pb 3.05, 2 Y 3.08
Pb: 0.6729 0.6729 0.3271  2 Tl 3.05, 2 Y 3.13

=====

3.
A plane-wave DFT calculation with SCAN was carried out for Al4AgTe at its PBEsol-relaxed geometry.

Values from the calculation:
**Volume**: 19.06 Å³ per atom
**Formation energy (no corrections)**: 273.7 meV per atom
**VASP energy**: -98.0 eV/cell
**N(E_F)**: 0.388 states/eV per atom
**SG**: No. 216

Cell lengths 5.4480, 5.4480, 5.4480 Å; angles 60.00, 60.00, 60.00 degrees
Last column: nearest neighbours and their distance in Å.
Element x y z (fractional)
Al: 0.1239 0.1239 0.1239  6 Al 2.70-2.75
Al: 0.1239 0.1239 0.6283  6 Al 2.70-2.75
Al: 0.1239 0.6283 0.1239  6 Al 2.70-2.75
Al: 0.6283 0.1239 0.1239  6 Al 2.70-2.75
Ag: 0.7500 0.7500 0.7500  12 Al 3.19, 4 Te 3.34
Te: 0.5000 0.5000 0.5000  12 Al 3.20, 4 Ag 3.34

=====

4.
A plane-wave DFT calculation with SCAN was carried out for RhWBr at its PBEsol-relaxed geometry.

Values from the calculation:
**Volume**: 16.60 Å³ per atom
**Energy relative to the lowest polymorph listed for this composition**: 0 meV per atom
**Formation energy (no corrections)**: 494.5 meV per atom
**VASP energy**: -121.4 eV/cell
**N(E_F)**: 0.699 states/eV per atom
**SG**: No. 107

Cell lengths 6.0986, 6.0986, 6.0986 Å; angles 152.03, 152.03, 39.97 degrees
Last column: nearest neighbours and their distance in Å.
Element x y z (fractional)
Rh: 0.0000 0.0000 0.0000  4 W 2.61
W: 0.6378 0.6378 0.0000  4 Rh 2.61, 4 Br 2.74
Br: 0.2930 0.2930 0.0000  4 W 2.74, 4 Br 2.95

=====

| no. | M_tot (Bohr magnetons per cell) |
| --- | --- |
| 1 | 17.0 |
| 2 | 0.0 |
| 3 | 0.0 |
| 4 | 0.0 |